HgPS2I: relaxed, PBE-GGA.

Values from the calculation:
E_form (uncorrected) = 1.066 eV per atom
Polymorph energy (0 for the lowest one) = 0.000 eV/atom
E = -10.2 eV for the cell shown

Structure (extended XYZ):
```
5
Lattice="-2.0039 4.0090 -2.0515 0.6917 -1.9448 -4.4761 -4.7951 -2.2711 0.2458" Properties=species:S:1:pos:R:3 pbc="T T T"
I -3.0536 -0.1035 -3.1409
P -2.3975 -1.1355 0.1229
S 0.3459 -0.9724 -2.2380
S -1.0020 2.0045 -1.0258
Hg 0.0000 0.0000 0.0000
```